{
  "formula": "LaC2Cl",
  "functional": "SCAN",
  "state": "single point on PBEsol structure",
  "final_energy_ha_per_atom": -0.608,
  "raw_formation_energy_ev_per_atom": 1.27,
  "polymorph_energy_kj_per_mol_atoms": 0.0,
  "cell": [[-2.5452, -1.2469, -2.5186], [0.7555, -3.5764, 1.0071], [-5.3891, 2.8161, 6.9058]],
  "species": ["C", "Cl", "La", "C", "La", "Cl", "C", "C"],
  "frac_coords": [[0.1250, 0.3750, 0.7500], [0.5000, 0.5000, 0.0000], [0.2500, 0.7500, 0.5000], [0.6250, 0.8750, 0.2500], [0.0000, 0.0000, 0.0000], [0.7500, 0.2500, 0.5000], [0.6250, 0.3750, 0.7500], [0.6250, 0.3750, 0.2500]]
}



{
  "formula": "Cr4OsW",
  "functional": "SCAN",
  "state": "single point on PBEsol structure",
  "final_energy_ha_per_atom": -1.315,
  "cell": [[-1.9037, -3.7879, -2.0521], [2.3668, -4.0711, -0.0859], [-1.4528, -3.6246, 2.6333]],
  "species": ["Cr", "W", "Cr", "Os", "Cr", "Cr"],
  "frac_coords": [[0.8792, 0.3736, 0.3736], [0.0000, 0.0000, 0.0000], [0.3736, 0.3736, 0.8792], [0.7500, 0.7500, 0.7500], [0.3736, 0.8792, 0.3736], [0.3736, 0.3736, 0.3736]]
}



{
  "formula": "TcSb3F",
  "functional": "SCAN",
  "state": "single point on PBEsol structure",
  "final_energy_ha_per_atom": -1.087,
  "raw_formation_energy_ev_per_atom": 0.51,
  "cell": [[4.7101, 0.0000, 0.0000], [0.0000, 4.7101, 0.0000], [0.0000, 0.0000, 4.7101]],
  "species": ["Tc", "F", "Sb", "Sb", "Sb"],
  "frac_coords": [[0.5000, 0.5000, 0.5000], [0.0000, 0.0000, 0.0000], [0.5000, 0.0000, 0.0000], [0.0000, 0.5000, 0.0000], [0.0000, 0.0000, 0.5000]]
}



{
  "formula": "Li2MnAsC",
  "functional": "SCAN",
  "state": "single point on PBEsol structure",
  "final_energy_ha_per_atom": -0.359,
  "cell": [[-3.6912, -2.5691, -0.3559], [2.1661, -2.7131, -2.8808], [1.4632, -2.5930, 3.5423]],
  "species": ["Mn", "Li", "Li", "As", "C"],
  "frac_coords": [[0.0000, 0.0000, 0.5000], [0.5000, 0.0000, 0.0000], [0.0000, 0.5000, 0.0000], [0.0000, 0.0000, 0.0000], [0.5000, 0.5000, 0.5000]]
}



{
  "formula": "GaAgTeBr2",
  "functional": "SCAN",
  "state": "single point on PBEsol structure",
  "final_energy_ha_per_atom": -0.910,
  "raw_formation_energy_ev_per_atom": 0.02,
  "cell": [[4.9177, 0.0000, 0.0000], [0.0000, 4.9177, 0.0000], [0.0000, 0.0000, 5.6789]],
  "species": ["Te", "Ga", "Br", "Br", "Ag"],
  "frac_coords": [[0.0000, 0.0000, 0.5000], [0.0000, 0.0000, 0.0000], [0.0000, 0.5000, 0.0000], [0.5000, 0.0000, 0.0000], [0.5000, 0.5000, 0.5000]]
}



{
  "formula": "CaVF5",
  "functional": "SCAN",
  "state": "single point on PBEsol structure",
  "final_energy_ha_per_atom": -0.369,
  "raw_formation_energy_ev_per_atom": -3.65,
  "cell": [[-4.4847, 0.9086, -2.9798], [4.0661, -5.5645, -3.1052], [-5.0511, -6.7796, 5.5348]],
  "species": ["Ca", "F", "F", "Ca", "Ca", "F", "Ca", "F", "F", "F", "F", "F", "F", "V", "V", "V", "F", "F", "F", "F", "F", "F", "F", "F", "V", "F", "F", "F"],
  "frac_coords": [[0.5331, 0.7559, 0.4791], [0.1171, 0.1938, 0.3968], [0.3595, 0.9979, 0.8878], [0.4669, 0.7441, 0.9791], [0.5331, 0.2559, 0.0209], [0.1428, 0.6596, 0.8020], [0.4669, 0.2441, 0.5209], [0.1734, 0.1388, 0.1386], [0.6405, 0.5021, 0.3878], [0.8829, 0.8062, 0.6032], [0.6033, 0.5557, 0.1200], [0.8829, 0.3062, 0.8968], [0.3595, 0.4979, 0.6122], [0.8908, 0.5997, 0.2464], [0.1092, 0.9003, 0.7464], [0.8908, 0.0997, 0.2536], [0.8266, 0.8612, 0.8614], [0.3967, 0.9443, 0.6200], [0.3967, 0.4443, 0.8800], [0.1428, 0.1596, 0.6980], [0.8572, 0.8404, 0.3020], [0.8266, 0.3612, 0.6386], [0.1171, 0.6938, 0.1032], [0.8572, 0.3404, 0.1980], [0.1092, 0.4003, 0.7536], [0.6405, 0.0021, 0.1122], [0.6033, 0.0557, 0.3800], [0.1734, 0.6388, 0.3614]]
}



{
  "formula": "ZnNi3",
  "functional": "SCAN",
  "state": "single point on PBEsol structure",
  "final_energy_ha_per_atom": -0.573,
  "cell": [[-1.8103, -1.7429, 0.1285], [2.8838, -3.0459, -0.6855], [-0.2556, 0.5754, 4.2032]],
  "species": ["Ni", "Zn", "Ni", "Ni"],
  "frac_coords": [[0.5000, 0.5000, 0.0000], [0.0000, 0.5000, 0.5000], [0.5000, 0.0000, 0.5000], [0.0000, 0.0000, 0.0000]]
}



{
  "formula": "Ba2ScRh",
  "functional": "SCAN",
  "state": "single point on PBEsol structure",
  "final_energy_ha_per_atom": -1.176,
  "polymorph_energy_kj_per_mol_atoms": 0.0,
  "cell": [[3.6670, 0.0000, 0.0000], [0.0000, 3.9083, -0.0460], [0.0000, -1.8289, 9.3940]],
  "species": ["Rh", "Sc", "Ba", "Ba"],
  "frac_coords": [[0.0000, 0.7403, 0.6059], [0.5000, 0.2587, 0.6429], [0.5000, 0.6007, 0.3227], [0.0000, 0.9003, 0.9284]]
}



{
  "formula": "YMg2Cu4",
  "functional": "SCAN",
  "state": "single point on PBEsol structure",
  "final_energy_ha_per_atom": -0.524,
  "polymorph_energy_kj_per_mol_atoms": 2.2,
  "cell": [[-5.8281, 0.8085, 3.1672], [2.8922, -5.8046, 1.6106], [4.4163, 4.7062, 1.7320]],
  "species": ["Cu", "Y", "Mg", "Mg", "Mg", "Cu", "Cu", "Cu", "Y", "Cu", "Cu", "Cu", "Mg", "Cu"],
  "frac_coords": [[0.2178, 0.1887, 0.6887], [0.0000, 0.2500, 0.2500], [0.5000, 0.6573, 0.8427], [0.8147, 0.1573, 0.6573], [0.5000, 0.3427, 0.1573], [0.5000, 0.3113, 0.5290], [0.5000, 0.0290, 0.8113], [0.5000, 0.9710, 0.1887], [0.0000, 0.7500, 0.7500], [0.5000, 0.6887, 0.4710], [0.2178, 0.5290, 0.0290], [0.7822, 0.4710, 0.9710], [0.1853, 0.8427, 0.3427], [0.7822, 0.8113, 0.3113]]
}



{
  "formula": "La2InCl",
  "functional": "SCAN",
  "state": "single point on PBEsol structure",
  "final_energy_ha_per_atom": -1.216,
  "raw_formation_energy_ev_per_atom": -1.19,
  "polymorph_energy_kj_per_mol_atoms": 0.0,
  "cell": [[-2.5471, -2.7272, 0.0347], [2.7259, -2.5506, -0.3741], [0.6616, -0.5106, 8.4201]],
  "species": ["La", "In", "Cl", "La"],
  "frac_coords": [[0.0000, 0.0009, 0.2368], [0.5000, 0.5000, 0.0000], [0.5000, 0.0000, 0.5000], [0.0000, 0.9991, 0.7632]]
}



{
  "formula": "FeTeIr2",
  "functional": "SCAN",
  "state": "single point on PBEsol structure",
  "final_energy_ha_per_atom": -1.805,
  "raw_formation_energy_ev_per_atom": 0.29,
  "cell": [[2.9425, 0.0000, 0.0000], [-1.4712, 4.4320, 0.0018], [0.0000, -0.8152, 4.6818]],
  "species": ["Te", "Ir", "Ir", "Fe"],
  "frac_coords": [[0.0000, 0.0000, 0.5000], [0.2429, 0.4857, 0.2316], [0.7571, 0.5143, 0.7684], [0.5000, 0.0000, 0.0000]]
}



{
  "formula": "Li2ZnS2",
  "functional": "SCAN",
  "state": "single point on PBEsol structure",
  "final_energy_ha_per_atom": -0.309,
  "raw_formation_energy_ev_per_atom": -0.90,
  "cell": [[-2.8370, -1.7979, -1.2124], [3.6163, -2.3106, -5.0355], [1.7509, -5.2284, 3.6565]],
  "species": ["Zn", "Li", "Li", "Li", "Zn", "Li", "S", "S", "S", "S"],
  "frac_coords": [[0.0000, 0.5000, 0.5000], [0.5000, 0.1361, 0.6361], [0.5000, 0.8639, 0.3639], [0.5000, 0.3639, 0.1361], [0.0000, 0.0000, 0.0000], [0.5000, 0.6361, 0.8639], [0.0000, 0.8198, 0.6802], [0.0000, 0.3198, 0.8198], [0.0000, 0.6802, 0.1802], [0.0000, 0.1802, 0.3198]]
}



{
  "formula": "MgP2Cl",
  "functional": "SCAN",
  "state": "single point on PBEsol structure",
  "final_energy_ha_per_atom": -0.296,
  "raw_formation_energy_ev_per_atom": 0.39,
  "polymorph_energy_kj_per_mol_atoms": 66.5,
  "cell": [[-0.5571, 2.8033, -0.1362], [-3.2288, -0.4673, 3.5879], [3.4929, 0.8522, 3.2543]],
  "species": ["Cl", "P", "Mg", "P"],
  "frac_coords": [[0.5000, 0.5000, 0.5000], [0.0000, 0.5000, 0.0000], [0.5000, 0.0000, 0.0000], [0.0000, 0.0000, 0.5000]]
}



{
  "formula": "Na2ZnH8S2O12",
  "functional": "SCAN",
  "state": "single point on PBEsol structure",
  "final_energy_ha_per_atom": -0.266,
  "cell": [[5.4568, 0.0000, -0.0117], [0.0000, 8.2212, 0.0000], [-1.8089, 0.0000, 10.8406]],
  "species": ["Na", "O", "O", "O", "H", "H", "Na", "H", "H", "S", "O", "O", "O", "H", "O", "O", "S", "O", "Na", "H", "H", "O", "H", "O", "O", "O", "O", "O", "H", "S", "O", "H", "O", "O", "S", "O", "H", "O", "Zn", "Zn", "H", "H", "H", "O", "H", "H", "O", "O", "Na", "O"],
  "frac_coords": [[0.1167, 0.5766, 0.8630], [0.3678, 0.7200, 0.2735], [0.6768, 0.3708, 0.4214], [0.7762, 0.0812, 0.4210], [0.2225, 0.1380, 0.8437], [0.7589, 0.7741, 0.4936], [0.8833, 0.0766, 0.6370], [0.2411, 0.2259, 0.5064], [0.3323, 0.1980, 0.1366], [0.6149, 0.2112, 0.3616], [0.1239, 0.4658, 0.3355], [0.6322, 0.2200, 0.2265], [0.2238, 0.5812, 0.0790], [0.6677, 0.6980, 0.3634], [0.3232, 0.8708, 0.0786], [0.3471, 0.1768, 0.3699], [0.3851, 0.7888, 0.6384], [0.1239, 0.0342, 0.8355], [0.8833, 0.4234, 0.1370], [0.2370, 0.5572, 0.3179], [0.7630, 0.0572, 0.1821], [0.8220, 0.7156, 0.4252], [0.7630, 0.4428, 0.6821], [0.6529, 0.8232, 0.6301], [0.8761, 0.5342, 0.6645], [0.6322, 0.2800, 0.7265], [0.6529, 0.6768, 0.1301], [0.6768, 0.1292, 0.9214], [0.6677, 0.8020, 0.8634], [0.6149, 0.2888, 0.8616], [0.2238, 0.9188, 0.5790], [0.7775, 0.6380, 0.6563], [0.3232, 0.6292, 0.5786], [0.1780, 0.2844, 0.5748], [0.3851, 0.7112, 0.1384], [0.3678, 0.7800, 0.7735], [0.3323, 0.3020, 0.6366], [0.8761, 0.9658, 0.1645], [0.0000, 0.0000, 0.0000], [0.0000, 0.5000, 0.5000], [0.7589, 0.7259, 0.9936], [0.2370, 0.9428, 0.8179], [0.2225, 0.3620, 0.3437], [0.7762, 0.4188, 0.9210], [0.2411, 0.2741, 0.0064], [0.7775, 0.8620, 0.1563], [0.3471, 0.3232, 0.8699], [0.1780, 0.2156, 0.0748], [0.1167, 0.9234, 0.3630], [0.8220, 0.7844, 0.9252]]
}



{
  "formula": "LaMnCdW2",
  "functional": "SCAN",
  "state": "single point on PBEsol structure",
  "final_energy_ha_per_atom": -1.603,
  "cell": [[4.8585, 0.0000, 0.0000], [0.0000, 4.8585, 0.0000], [0.0000, 0.0000, 5.4631]],
  "species": ["Mn", "Cd", "W", "La", "W"],
  "frac_coords": [[0.5000, 0.5000, 0.5000], [0.0000, 0.0000, 0.5000], [0.0000, 0.5000, 0.0000], [0.0000, 0.0000, 0.0000], [0.5000, 0.0000, 0.0000]]
}



{
  "formula": "OsAuO2",
  "functional": "SCAN",
  "state": "single point on PBEsol structure",
  "final_energy_ha_per_atom": -1.422,
  "raw_formation_energy_ev_per_atom": -0.32,
  "polymorph_energy_kj_per_mol_atoms": 0.0,
  "cell": [[-1.5109, 1.6434, -1.5707], [0.4138, 0.0695, -2.6971], [-6.0862, -5.6811, -2.4612]],
  "species": ["O", "O", "Os", "Au"],
  "frac_coords": [[0.1152, 0.1152, 0.6545], [0.8848, 0.8848, 0.3455], [0.5000, 0.5000, 0.5000], [0.0000, 0.0000, 0.0000]]
}



{
  "formula": "Hg2PdF2",
  "functional": "SCAN",
  "state": "single point on PBEsol structure",
  "final_energy_ha_per_atom": -1.318,
  "raw_formation_energy_ev_per_atom": -0.64,
  "cell": [[4.8269, -0.0105, -0.0166], [-1.9551, 4.4133, 0.0166], [-1.9551, -1.8627, 4.0009]],
  "species": ["Pd", "F", "Hg", "Hg", "F"],
  "frac_coords": [[0.0000, 0.0000, 0.0000], [0.0000, 0.6788, 0.6788], [0.5000, 0.7500, 0.2500], [0.5000, 0.2500, 0.7500], [0.0000, 0.3212, 0.3212]]
}



{
  "formula": "Bi2TeOsCl",
  "functional": "SCAN",
  "state": "single point on PBEsol structure",
  "final_energy_ha_per_atom": -1.996,
  "raw_formation_energy_ev_per_atom": 0.54,
  "cell": [[5.0353, 0.0000, 0.0000], [0.0000, 5.3766, 0.0000], [0.0000, 0.0000, 5.3766]],
  "species": ["Te", "Cl", "Os", "Bi", "Bi"],
  "frac_coords": [[0.5000, 0.0000, 0.0000], [0.5000, 0.5000, 0.5000], [0.0000, 0.0000, 0.0000], [0.0000, 0.0000, 0.5000], [0.0000, 0.5000, 0.0000]]
}



{
  "formula": "RbTi3FeO8",
  "functional": "SCAN",
  "state": "single point on PBEsol structure",
  "final_energy_ha_per_atom": -0.491,
  "raw_formation_energy_ev_per_atom": -2.85,
  "cell": [[2.9625, 0.0000, 0.0000], [1.4812, 7.0258, 0.0278], [1.4812, 0.0363, 7.0330]],
  "species": ["O", "O", "Ti", "Ti", "O", "O", "Ti", "O", "O", "O", "Fe", "O", "Rb"],
  "frac_coords": [[0.2914, 0.0522, 0.3651], [0.3494, 0.3580, 0.9432], [0.6606, 0.1869, 0.4918], [0.3353, 0.8048, 0.5245], [0.9609, 0.7057, 0.3725], [0.0353, 0.3011, 0.6283], [0.1590, 0.5159, 0.1662], [0.6548, 0.6508, 0.0396], [0.3378, 0.6140, 0.7104], [0.6716, 0.3729, 0.2840], [0.8477, 0.4825, 0.8222], [0.7028, 0.9460, 0.6484], [0.9935, 0.0092, 0.0037]]
}



{
  "formula": "CuSiRh2",
  "functional": "SCAN",
  "state": "single point on PBEsol structure",
  "final_energy_ha_per_atom": -0.867,
  "raw_formation_energy_ev_per_atom": -0.40,
  "cell": [[2.8041, 0.0000, 0.0000], [0.0000, 4.1336, 0.0000], [-1.4020, -2.0668, 4.3573]],
  "species": ["Si", "Rh", "Cu", "Rh"],
  "frac_coords": [[0.4985, 0.4985, 0.9970], [0.7781, 0.2781, 0.5562], [0.2241, 0.7241, 0.4483], [0.9993, 0.9993, 0.9986]]
}